A plane-wave DFT calculation with GGA+U was carried out for a geometry-optimized K3Np2NiO9 structure.

```
K3Np2NiO9
1.0
5.8955 0.0000 0.0000
-2.9478 5.1057 0.0000
0.0000 0.0000 7.2452
O K Np Ni
9 3 2 1
Direct
0.5000 0.0000 0.0000 O
0.6579 0.8290 0.3293 O
0.8290 0.6579 0.6707 O
0.0000 0.5000 0.0000 O
0.3421 0.1710 0.6707 O
0.8290 0.1710 0.6707 O
0.5000 0.5000 0.0000 O
0.1710 0.3421 0.3293 O
0.1710 0.8290 0.3293 O
0.0000 0.0000 0.0000 K
0.3333 0.6667 0.6574 K
0.6667 0.3333 0.3426 K
0.6667 0.3333 0.8227 Np
0.3333 0.6667 0.1773 Np
0.0000 0.0000 0.5000 Ni
```

Summary:
Total DFT energy (no corrections)   -7.3484 eV/atom
Magnetic moment   0.200 μB/atom